Record 1
First-principles (PBE-GGA) data for crystalline NaH3Rh at its relaxed geometry, as listed in Alexandria. Values from VASP.

total magnetization	0.00	μB per formula unit
space group	C2/c
ΔE to the lowest computed polymorph	169	meV per atom

Structure (Quantum ESPRESSO input):
```
&SYSTEM
  ibrav = 0, nat = 20, ntyp = 3
/
ATOMIC_SPECIES
H 1.01 H.upf
Na 22.99 Na.upf
Rh 102.91 Rh.upf
CELL_PARAMETERS angstrom
-2.9408 -7.8825 -2.0960
2.4955 -3.3644 -4.1053
5.2485 0.9147 2.4529
ATOMIC_POSITIONS crystal
H 0.2177 0.1096 0.0273
Na 0.2500 0.5009 0.0009
H 0.4363 0.1745 0.4081
Rh 0.9605 0.7785 0.3741
H 0.6251 0.0515 0.1352
Na 0.7500 0.1338 0.6338
Na 0.7500 0.4991 0.9991
Rh 0.5395 0.8741 0.2785
Na 0.2500 0.8662 0.3662
H 0.7177 0.4727 0.3904
Rh 0.4605 0.1259 0.7215
H 0.1251 0.3648 0.4485
H 0.3749 0.9485 0.8648
H 0.0637 0.9081 0.6745
H 0.7823 0.8904 0.9727
H 0.8749 0.6352 0.5515
H 0.2823 0.5273 0.6096
Rh 0.0395 0.2215 0.6259
H 0.5637 0.8255 0.5919
H 0.9363 0.0919 0.3255
```



Record 2
First-principles (PBE-GGA) data for crystalline Na3H6Rh at its relaxed geometry, as listed in Alexandria. Values from VASP.

total magnetization	0.17	μB per formula unit
space group	Pnma
uncorrected energy	-3.486	eV per atom

Structure (Quantum ESPRESSO input):
```
&SYSTEM
  ibrav = 0, nat = 40, ntyp = 3
/
ATOMIC_SPECIES
H 1.01 H.upf
Na 22.99 Na.upf
Rh 102.91 Rh.upf
CELL_PARAMETERS angstrom
-4.4986 2.5506 0.5466
-3.4806 -7.1537 4.7355
3.1669 3.8429 8.1329
ATOMIC_POSITIONS crystal
H 0.7500 0.6858 0.7506
Na 0.2500 0.0451 0.3737
Na 0.2500 0.8963 0.0332
Na 0.7500 0.2816 0.2498
H 0.7500 0.1858 0.7494
Rh 0.7500 0.7779 0.9004
Rh 0.2500 0.7221 0.4004
H 0.2500 0.8142 0.2506
H 0.4700 0.6084 0.3369
Na 0.7500 0.6037 0.5332
H 0.9700 0.8916 0.8369
Rh 0.7500 0.2779 0.5996
H 0.9803 0.6683 0.9642
H 0.0300 0.6084 0.3369
Na 0.7500 0.7816 0.2502
Na 0.7500 0.9549 0.6263
H 0.7500 0.8752 0.0463
Rh 0.2500 0.2221 0.0996
H 0.4803 0.8317 0.4642
H 0.2500 0.6248 0.5463
H 0.5300 0.8916 0.8369
Na 0.2500 0.3963 0.4668
Na 0.7500 0.1037 0.9668
Na 0.2500 0.5451 0.1263
H 0.4803 0.3317 0.0358
H 0.0300 0.1084 0.1631
H 0.7500 0.3752 0.4537
H 0.0197 0.8317 0.4642
Na 0.2500 0.2184 0.7498
Na 0.2500 0.7184 0.7502
H 0.9700 0.3916 0.6631
H 0.9803 0.1683 0.5358
H 0.4700 0.1084 0.1631
H 0.5197 0.1683 0.5358
H 0.2500 0.1248 0.9537
H 0.0197 0.3317 0.0358
Na 0.7500 0.4549 0.8737
H 0.5300 0.3916 0.6631
H 0.2500 0.3142 0.2494
H 0.5197 0.6683 0.9642
```



Record 3
First-principles (PBE-GGA) data for crystalline NaSbH2Rh2 at its relaxed geometry, as listed in Alexandria. Values from VASP.

total magnetization	0.00	μB per formula unit
space group	P2_1/m
uncorrected energy	-4.720	eV per atom

Structure (Quantum ESPRESSO input):
```
&SYSTEM
  ibrav = 0, nat = 12, ntyp = 4
/
ATOMIC_SPECIES
H 1.01 H.upf
Sb 121.76 Sb.upf
Rh 102.91 Rh.upf
Na 22.99 Na.upf
CELL_PARAMETERS angstrom
-4.4010 -1.2051 3.3503
1.9074 -3.5806 1.2177
3.1409 4.5234 5.7529
ATOMIC_POSITIONS crystal
H 0.2500 0.2285 0.3119
Sb 0.7500 0.6992 0.0859
H 0.2500 0.7299 0.6791
Rh 0.4938 0.7897 0.8161
H 0.7500 0.2701 0.3209
H 0.7500 0.7715 0.6881
Na 0.2500 0.7460 0.4062
Rh 0.9938 0.2103 0.1839
Sb 0.2500 0.3008 0.9141
Rh 0.5062 0.2103 0.1839
Rh 0.0062 0.7897 0.8161
Na 0.7500 0.2540 0.5938
```



Record 4
First-principles (PBE-GGA) data for crystalline NaSbH2Rh at its relaxed geometry, as listed in Alexandria. Values from VASP.

total magnetization	0.00	μB per formula unit
space group	P4/mmm
uncorrected energy	-3.276	eV per atom

Structure (Quantum ESPRESSO input):
```
&SYSTEM
  ibrav = 0, nat = 5, ntyp = 4
/
ATOMIC_SPECIES
Na 22.99 Na.upf
H 1.01 H.upf
Rh 102.91 Rh.upf
Sb 121.76 Sb.upf
CELL_PARAMETERS angstrom
-0.7508 1.2743 3.5088
4.1488 -2.6439 1.8479
2.2134 3.0340 -0.6283
ATOMIC_POSITIONS crystal
Na 0.0000 0.5000 0.0000
H 0.5000 0.0000 0.0000
Rh 0.0000 0.0000 0.0000
H 0.0000 0.0000 0.5000
Sb 0.5000 0.5000 0.5000
```



Record 5
First-principles (PBE-GGA) data for crystalline Na2Sb3H2Rh5 at its relaxed geometry, as listed in Alexandria. Values from VASP.

total magnetization	0.00	μB per formula unit
space group	I4/mmm
uncorrected energy	-5.130	eV per atom

Structure (Quantum ESPRESSO input):
```
&SYSTEM
  ibrav = 0, nat = 12, ntyp = 4
/
ATOMIC_SPECIES
Rh 102.91 Rh.upf
Na 22.99 Na.upf
H 1.01 H.upf
Sb 121.76 Sb.upf
CELL_PARAMETERS angstrom
4.0987 0.0000 0.0000
0.0000 4.0987 0.0000
-2.0494 -2.0494 11.7668
ATOMIC_POSITIONS crystal
Rh 0.9137 0.4137 0.8274
Rh 0.0863 0.5863 0.1726
Rh 0.4137 0.9137 0.8274
Na 0.2990 0.2990 0.5980
Na 0.7010 0.7010 0.4020
H 0.5805 0.5805 0.1610
Rh 0.5863 0.0863 0.1726
Sb 0.1577 0.1577 0.3155
Rh 0.5000 0.5000 0.0000
Sb 0.8423 0.8423 0.6845
H 0.4195 0.4195 0.8390
Sb 0.0000 0.0000 0.0000
```



Record 6
First-principles (PBE-GGA) data for crystalline NaSnH8Rh4 at its relaxed geometry, as listed in Alexandria. Values from VASP.

total magnetization	0.00	μB per formula unit
space group	R3m
uncorrected energy	-4.418	eV per atom

Structure (Quantum ESPRESSO input):
```
&SYSTEM
  ibrav = 0, nat = 14, ntyp = 4
/
ATOMIC_SPECIES
H 1.01 H.upf
Rh 102.91 Rh.upf
Sn 118.71 Sn.upf
Na 22.99 Na.upf
CELL_PARAMETERS angstrom
5.6869 0.0000 0.0000
2.8434 4.9250 0.0000
2.8434 1.6417 4.6918
ATOMIC_POSITIONS crystal
H 0.2792 0.8147 0.6268
Rh 0.5059 0.0008 0.4926
Sn 0.9972 0.9972 0.0083
Rh 0.0008 0.0008 0.4926
Rh 0.0008 0.5059 0.4926
H 0.2871 0.6743 0.3643
H 0.2792 0.2792 0.6268
H 0.8147 0.2792 0.6268
H 0.6743 0.2871 0.3643
H 0.7631 0.7631 0.7108
H 0.2230 0.2230 0.3310
Na 0.3708 0.3708 0.8877
Rh 0.6296 0.6296 0.1111
H 0.6743 0.6743 0.3643
```



Record 7
First-principles (PBE-GGA) data for crystalline NaSnH2Rh at its relaxed geometry, as listed in Alexandria. Values from VASP.

total magnetization	0.00	μB per formula unit
space group	P4/mmm
uncorrected energy	-3.406	eV per atom

Structure (Quantum ESPRESSO input):
```
&SYSTEM
  ibrav = 0, nat = 5, ntyp = 4
/
ATOMIC_SPECIES
Na 22.99 Na.upf
Rh 102.91 Rh.upf
Sn 118.71 Sn.upf
H 1.01 H.upf
CELL_PARAMETERS angstrom
-2.1527 -3.3453 -0.0381
3.4846 -2.2787 3.1902
-2.0512 1.2840 3.1576
ATOMIC_POSITIONS crystal
Na 0.5000 0.5000 0.5000
Rh 0.0000 0.5000 0.0000
Sn 0.0000 0.0000 0.0000
H 0.5000 0.0000 0.0000
H 0.0000 0.0000 0.5000
```



Record 8
First-principles (PBE-GGA) data for crystalline Na2SnH6Rh at its relaxed geometry, as listed in Alexandria. Values from VASP.

total magnetization	0.00	μB per formula unit
space group	I4/mmm
uncorrected energy	-3.522	eV per atom

Structure (Quantum ESPRESSO input):
```
&SYSTEM
  ibrav = 0, nat = 10, ntyp = 4
/
ATOMIC_SPECIES
H 1.01 H.upf
Sn 118.71 Sn.upf
Na 22.99 Na.upf
Rh 102.91 Rh.upf
CELL_PARAMETERS angstrom
5.4122 0.0013 -0.0004
0.0013 5.4115 -0.0005
2.7067 2.7064 3.8794
ATOMIC_POSITIONS crystal
H 0.2237 0.7765 0.0000
H 0.2230 0.2232 0.0006
H 0.2221 0.2221 0.5563
H 0.7763 0.2235 0.0000
Sn 0.5000 0.5000 0.0000
H 0.7779 0.7779 0.4437
Na 0.7502 0.2499 0.4999
Rh 0.0000 0.0000 0.0000
H 0.7770 0.7768 0.9994
Na 0.2498 0.7501 0.5001
```



Record 9
First-principles (PBE-GGA) data for crystalline NaSr2HRh at its relaxed geometry, as listed in Alexandria. Values from VASP.

total magnetization	0.00	μB per formula unit
space group	P4/mmm
ΔE to the lowest computed polymorph	0	meV per atom

Structure (Quantum ESPRESSO input):
```
&SYSTEM
  ibrav = 0, nat = 5, ntyp = 4
/
ATOMIC_SPECIES
Rh 102.91 Rh.upf
Sr 87.62 Sr.upf
H 1.01 H.upf
Na 22.99 Na.upf
CELL_PARAMETERS angstrom
-3.7098 -1.7695 -3.6758
3.4792 -3.9667 -1.6019
-1.5036 -2.3976 2.6716
ATOMIC_POSITIONS crystal
Rh 0.0000 0.0000 0.5000
Sr 0.5000 0.0000 0.0000
H 0.0000 0.0000 0.0000
Sr 0.0000 0.5000 0.0000
Na 0.5000 0.5000 0.5000
```



Record 10
First-principles (PBE-GGA) data for crystalline NaSrH4Rh at its relaxed geometry, as listed in Alexandria. Values from VASP.

total magnetization	0.00	μB per formula unit
space group	Cmcm
uncorrected energy	-3.790	eV per atom

Structure (Quantum ESPRESSO input):
```
&SYSTEM
  ibrav = 0, nat = 14, ntyp = 4
/
ATOMIC_SPECIES
Sr 87.62 Sr.upf
H 1.01 H.upf
Rh 102.91 Rh.upf
Na 22.99 Na.upf
CELL_PARAMETERS angstrom
-3.9147 3.4436 0.4451
-3.2284 -3.8771 1.6014
3.6411 -0.5981 5.8924
ATOMIC_POSITIONS crystal
Sr 0.1142 0.2500 0.2283
H 0.5000 0.5000 0.5000
Sr 0.8858 0.7500 0.7717
H 0.3794 0.7500 0.7588
Rh 0.7540 0.2500 0.5079
H 0.0000 0.5000 0.5000
H 0.5000 0.0000 0.5000
Rh 0.2460 0.7500 0.4921
Na 0.6211 0.7500 0.2423
H 0.0000 0.0000 0.5000
Na 0.3789 0.2500 0.7577
H 0.1062 0.7500 0.2124
H 0.8938 0.2500 0.7876
H 0.6206 0.2500 0.2412
```



Record 11
First-principles (PBE-GGA) data for crystalline Na2Sr6HRh at its relaxed geometry, as listed in Alexandria. Values from VASP.

total magnetization	0.00	μB per formula unit
space group	Cm
uncorrected energy	-2.492	eV per atom

Structure (Quantum ESPRESSO input):
```
&SYSTEM
  ibrav = 0, nat = 10, ntyp = 4
/
ATOMIC_SPECIES
Rh 102.91 Rh.upf
Sr 87.62 Sr.upf
Na 22.99 Na.upf
H 1.01 H.upf
CELL_PARAMETERS angstrom
8.2587 0.0230 0.0031
0.0230 8.2587 0.0028
-4.1387 -4.1385 5.8086
ATOMIC_POSITIONS crystal
Rh 0.4998 0.5003 0.9996
Sr 0.7512 0.7517 0.5015
Sr 0.7485 0.7491 0.9986
Na 0.7498 0.2505 0.4998
Sr 0.2494 0.7508 0.9998
Sr 0.7503 0.2499 0.9997
H 0.0003 0.0008 0.0005
Na 0.2501 0.7503 0.4998
Sr 0.2484 0.2489 0.4977
Sr 0.2513 0.2517 0.0009
```



Record 12
First-principles (PBE-GGA) data for crystalline NaSr2H6Rh at its relaxed geometry, as listed in Alexandria. Values from VASP.

total magnetization	0.00	μB per formula unit
space group	P-3m1
uncorrected energy	-3.634	eV per atom

Structure (Quantum ESPRESSO input):
```
&SYSTEM
  ibrav = 0, nat = 10, ntyp = 4
/
ATOMIC_SPECIES
H 1.01 H.upf
Na 22.99 Na.upf
Sr 87.62 Sr.upf
Rh 102.91 Rh.upf
CELL_PARAMETERS angstrom
-1.2407 2.7160 -6.4001
-3.0374 -3.9820 -1.1010
-1.9731 4.2073 2.1680
ATOMIC_POSITIONS crystal
H 0.8618 0.1558 0.3116
Na 0.5000 0.0000 0.0000
Sr 0.1827 0.3333 0.6667
H 0.8618 0.1558 0.8442
H 0.1382 0.8442 0.6884
Rh 0.0000 0.0000 0.0000
Sr 0.8173 0.6667 0.3333
H 0.1382 0.3116 0.1558
H 0.8618 0.6884 0.8442
H 0.1382 0.8442 0.1558
```



Question: Which of these has the highest total magnetization?
Answer: Na3H6Rh